{
  "formula": "Pt7Au2",
  "functional": "PBE",
  "state": "relaxed",
  "dos_at_fermi_per_ev_cell": 14.0,
  "delta_e_f_ev_per_atom": 0.036,
  "cell": [[-1.2818, 3.6154, 3.0355], [-2.3088, -0.5349, -4.2792], [-4.6906, -4.2320, 3.0598]],
  "species": ["Pt", "Pt", "Pt", "Pt", "Pt", "Pt", "Pt", "Au", "Au"],
  "frac_coords": [[0.0000, 0.0000, 0.0000], [0.6696, 0.0000, 0.3357], [0.0000, 0.6696, 0.3357], [0.3304, 0.3304, 0.3357], [0.0000, 0.3304, 0.6643], [0.3304, 0.0000, 0.6643], [0.6696, 0.6696, 0.6643], [0.3333, 0.6667, 0.0000], [0.6667, 0.3333, 0.0000]]
}